(1)
# Y2Al4IrPt3 | Alexandria via LeMat-Bulk | PBE | relaxed
data_Y2Al4IrPt3
_chemical_formula_sum 'Y2 Al4 Ir1 Pt3'
_symmetry_space_group_name_H-M 'P -4 m 2'
_symmetry_Int_Tables_number 115
_symmetry_space_group_name_Hall 'P -4 -2'
_cell_length_a 4.1972
_cell_length_b 4.1972
_cell_length_c 10.4398
_cell_angle_alpha 90.00
_cell_angle_beta 90.00
_cell_angle_gamma 90.00
loop_
_atom_site_label
_atom_site_fract_x
_atom_site_fract_y
_atom_site_fract_z
Y1 0.0000 0.5000 0.2426
Al1 0.0000 0.0000 0.5000
Al2 0.0000 0.5000 0.8721
Al3 0.5000 0.5000 0.5000
Ir1 0.5000 0.5000 0.0000
Pt1 0.0000 0.0000 0.0000
Pt2 0.0000 0.5000 0.6359
# E_form = -10.9 eV per formula unit

=====

(2)
# Na2H2IO6 | Alexandria via LeMat-Bulk | PBE | relaxed
data_Na2H2IO6
_chemical_formula_sum 'Na6 H6 I3 O18'
_symmetry_space_group_name_H-M 'R -3 m'
_symmetry_Int_Tables_number 166
_symmetry_space_group_name_Hall '-R 3 2"'
_cell_length_a 5.0381
_cell_length_b 5.0381
_cell_length_c 15.9995
_cell_angle_alpha 90.00
_cell_angle_beta 90.00
_cell_angle_gamma 120.00
loop_
_atom_site_label
_atom_site_fract_x
_atom_site_fract_y
_atom_site_fract_z
Na1 0.0000 0.0000 0.2098
H1 0.0000 0.0000 0.3953
I1 0.0000 0.0000 0.0000
O1 0.0088 0.5044 0.2598
# total DFT energy (no corrections) = -4.313 eV/atom

=====

(3)
# K2AgW | Alexandria via LeMat-Bulk | PBE | relaxed
data_K2AgW
_chemical_formula_sum 'K2 Ag1 W1'
_symmetry_space_group_name_H-M 'P 1 2/m 1'
_symmetry_Int_Tables_number 10
_symmetry_space_group_name_Hall '-P 2y'
_cell_length_a 2.8001
_cell_length_b 5.9013
_cell_length_c 5.9394
_cell_angle_alpha 90.00
_cell_angle_beta 95.37
_cell_angle_gamma 90.00
loop_
_atom_site_label
_atom_site_fract_x
_atom_site_fract_y
_atom_site_fract_z
K1 0.1962 0.0000 0.2539
Ag1 0.0000 0.5000 0.5000
W1 0.5000 0.5000 0.0000
# E_form = 5.2 eV per formula unit
# excess energy over the best structure of this formula in the dataset = 282 meV per atom

=====

(4)
# Rb3NbAl | Alexandria via LeMat-Bulk | PBE | relaxed
data_Rb3NbAl
_chemical_formula_sum 'Rb3 Nb1 Al1'
_symmetry_space_group_name_H-M 'P m -3 m'
_symmetry_Int_Tables_number 221
_symmetry_space_group_name_Hall '-P 4 2 3'
_cell_length_a 6.8910
_cell_length_b 6.8910
_cell_length_c 6.8910
_cell_angle_alpha 90.00
_cell_angle_beta 90.00
_cell_angle_gamma 90.00
loop_
_atom_site_label
_atom_site_fract_x
_atom_site_fract_y
_atom_site_fract_z
Rb1 0.0000 0.0000 0.5000
Nb1 0.0000 0.0000 0.0000
Al1 0.5000 0.5000 0.5000
# E_form = 7.2 eV per formula unit

=====

(5)
# NaPu2AgSe4 | Alexandria via LeMat-Bulk | PBE | relaxed
data_NaPu2AgSe4
_chemical_formula_sum 'Na4 Pu8 Ag4 Se16'
_symmetry_space_group_name_H-M 'C m c m'
_symmetry_Int_Tables_number 63
_symmetry_space_group_name_Hall '-C 2c 2'
_cell_length_a 4.1904
_cell_length_b 13.6101
_cell_length_c 14.7402
_cell_angle_alpha 90.00
_cell_angle_beta 90.00
_cell_angle_gamma 90.00
loop_
_atom_site_label
_atom_site_fract_x
_atom_site_fract_y
_atom_site_fract_z
Na1 0.0000 0.1218 0.2500
Pu1 0.0000 0.3686 0.0676
Ag1 0.0000 0.1568 0.7500
Se1 0.0000 0.0000 0.0000
Se2 0.0000 0.2729 0.6074
Se3 0.0000 0.4594 0.2500
# ΔE_f (raw) = -1.1654 eV per atom

=====

(6)
# KBaNb | Alexandria via LeMat-Bulk | PBE | relaxed
data_KBaNb
_chemical_formula_sum 'K2 Ba2 Nb2'
_symmetry_space_group_name_H-M 'P 1'
_symmetry_Int_Tables_number 1
_symmetry_space_group_name_Hall 'P 1'
_cell_length_a 3.5618
_cell_length_b 7.6403
_cell_length_c 10.3875
_cell_angle_alpha 110.01
_cell_angle_beta 96.96
_cell_angle_gamma 98.06
loop_
_atom_site_label
_atom_site_fract_x
_atom_site_fract_y
_atom_site_fract_z
K1 0.0000 0.0000 0.0000
K2 0.0604 0.5671 0.1348
Ba1 0.7195 0.2256 0.4479
Ba2 0.7959 0.7991 0.5955
Nb1 0.2527 0.5112 0.7678
Nb2 0.5117 0.2583 0.7680
# E_form = 2.0 eV per formula unit
# excess energy over the best structure of this formula in the dataset = 275 meV per atom

=====

(7)
# Zn3Cu6As4S12 | Alexandria via LeMat-Bulk | PBE | relaxed
data_Zn3Cu6As4S12
_chemical_formula_sum 'Zn3 Cu6 As4 S12'
_symmetry_space_group_name_H-M 'P 1'
_symmetry_Int_Tables_number 1
_symmetry_space_group_name_Hall 'P 1'
_cell_length_a 8.3741
_cell_length_b 8.4277
_cell_length_c 8.4557
_cell_angle_alpha 107.49
_cell_angle_beta 107.50
_cell_angle_gamma 107.15
loop_
_atom_site_label
_atom_site_fract_x
_atom_site_fract_y
_atom_site_fract_z
Zn1 0.0000 0.0000 0.0000
Zn2 0.1588 0.4807 0.3735
Zn3 0.3289 0.9470 0.7612
Cu1 0.0926 0.2400 0.6927
Cu2 0.2227 0.6909 0.0610
Cu3 0.3870 0.1765 0.4669
Cu4 0.6309 0.8567 0.5185
Cu5 0.6903 0.0810 0.2168
Cu6 0.8386 0.5430 0.6032
As1 0.4925 0.4034 0.1500
As2 0.5509 0.6220 0.8554
As3 0.7686 0.3417 0.9148
As4 0.9025 0.7667 0.2787
S1 0.0560 0.6956 0.5148
S2 0.1494 0.9143 0.2231
S3 0.2200 0.1478 0.9081
S4 0.2934 0.3892 0.5965
S5 0.3774 0.6051 0.2760
S6 0.4385 0.8312 0.9690
S7 0.5426 0.0742 0.6595
S8 0.5910 0.2905 0.3545
S9 0.7427 0.7577 0.7384
S10 0.8480 0.0014 0.4358
S11 0.9018 0.2245 0.1211
S12 0.9780 0.4417 0.8078
# ΔE_f (raw) = -0.3404 eV per atom

=====

(8)
# YCrNi2 | Alexandria via LeMat-Bulk | PBE | relaxed
data_YCrNi2
_chemical_formula_sum 'Y4 Cr4 Ni8'
_symmetry_space_group_name_H-M 'I -4 2 d'
_symmetry_Int_Tables_number 122
_symmetry_space_group_name_Hall 'I -4 2bw'
_cell_length_a 4.4098
_cell_length_b 4.4098
_cell_length_c 15.9912
_cell_angle_alpha 90.00
_cell_angle_beta 90.00
_cell_angle_gamma 90.00
loop_
_atom_site_label
_atom_site_fract_x
_atom_site_fract_y
_atom_site_fract_z
Y1 0.0000 0.0000 0.0000
Cr1 0.0000 0.0000 0.5000
Ni1 0.0677 0.2500 0.6250
# E_form = 1.4 eV per formula unit
# excess energy over the best structure of this formula in the dataset = 479 meV per atom

=====

(9)
# LiLaSeN2 | Alexandria via LeMat-Bulk | PBE | relaxed
data_LiLaSeN2
_chemical_formula_sum 'Li1 La1 Se1 N2'
_symmetry_space_group_name_H-M 'P 4/m m m'
_symmetry_Int_Tables_number 123
_symmetry_space_group_name_Hall '-P 4 2'
_cell_length_a 4.1816
_cell_length_b 4.1816
_cell_length_c 4.3055
_cell_angle_alpha 90.00
_cell_angle_beta 90.00
_cell_angle_gamma 90.00
loop_
_atom_site_label
_atom_site_fract_x
_atom_site_fract_y
_atom_site_fract_z
Li1 0.0000 0.0000 0.0000
La1 0.5000 0.5000 0.5000
Se1 0.0000 0.0000 0.5000
N1 0.0000 0.5000 0.0000
# ΔE_f (raw) = 0.3005 eV per atom
# excess energy over the best structure of this formula in the dataset = 0 meV per atom

=====

(10)
# MgTl2InBr5 | Alexandria via LeMat-Bulk | PBE | relaxed
data_MgTl2InBr5
_chemical_formula_sum 'Mg4 Tl8 In4 Br20'
_symmetry_space_group_name_H-M 'C m c 21'
_symmetry_Int_Tables_number 36
_symmetry_space_group_name_Hall 'C 2c -2'
_cell_length_a 4.1295
_cell_length_b 19.7686
_cell_length_c 15.8986
_cell_angle_alpha 90.00
_cell_angle_beta 90.00
_cell_angle_gamma 90.00
loop_
_atom_site_label
_atom_site_fract_x
_atom_site_fract_y
_atom_site_fract_z
Mg1 0.0000 0.2431 0.0000
Tl1 0.0000 0.3772 0.2677
Tl2 0.0000 0.4453 0.5871
In1 0.0000 0.0736 0.4218
Br1 0.0000 0.0028 0.2293
Br2 0.0000 0.1189 0.9365
Br3 0.0000 0.2231 0.3867
Br4 0.0000 0.2839 0.6079
Br5 0.0000 0.3723 0.0525
# ΔE_f (raw) = -0.9799 eV per atom

=====

(11)
# CsPr2HgSe4 | Alexandria via LeMat-Bulk | PBE | relaxed
data_CsPr2HgSe4
_chemical_formula_sum 'Cs4 Pr8 Hg4 Se16'
_symmetry_space_group_name_H-M 'C m c m'
_symmetry_Int_Tables_number 63
_symmetry_space_group_name_Hall '-C 2c 2'
_cell_length_a 4.5018
_cell_length_b 14.9522
_cell_length_c 15.4985
_cell_angle_alpha 90.00
_cell_angle_beta 90.00
_cell_angle_gamma 90.00
loop_
_atom_site_label
_atom_site_fract_x
_atom_site_fract_y
_atom_site_fract_z
Cs1 0.0000 0.1224 0.2500
Pr1 0.0000 0.3741 0.0577
Hg1 0.0000 0.1595 0.7500
Se1 0.0000 0.0000 0.0000
Se2 0.0000 0.2588 0.5995
Se3 0.0000 0.4400 0.2500
# ΔE_f (raw) = -1.3324 eV per atom

=====

(12)
# CsLa2In | Alexandria via LeMat-Bulk | PBE | relaxed
data_CsLa2In
_chemical_formula_sum 'Cs4 La8 In4'
_symmetry_space_group_name_H-M 'I -4 2 d'
_symmetry_Int_Tables_number 122
_symmetry_space_group_name_Hall 'I -4 2bw'
_cell_length_a 5.1325
_cell_length_b 5.1325
_cell_length_c 24.3084
_cell_angle_alpha 90.00
_cell_angle_beta 90.00
_cell_angle_gamma 90.00
loop_
_atom_site_label
_atom_site_fract_x
_atom_site_fract_y
_atom_site_fract_z
Cs1 0.0000 0.0000 0.0000
La1 0.2122 0.2500 0.6250
In1 0.0000 0.0000 0.5000
# E_form = 1.5 eV per formula unit

=====

(13)
# CrRu2 | Alexandria via LeMat-Bulk | PBE | relaxed
data_CrRu2
_chemical_formula_sum 'Cr4 Ru8'
_symmetry_space_group_name_H-M 'P n m a'
_symmetry_Int_Tables_number 62
_symmetry_space_group_name_Hall '-P 2ac 2n'
_cell_length_a 5.2136
_cell_length_b 4.0626
_cell_length_c 7.5642
_cell_angle_alpha 90.00
_cell_angle_beta 90.00
_cell_angle_gamma 90.00
loop_
_atom_site_label
_atom_site_fract_x
_atom_site_fract_y
_atom_site_fract_z
Cr1 0.2170 0.2500 0.1094
Ru1 0.0371 0.2500 0.7865
Ru2 0.1847 0.2500 0.4353
# E_form = 0.2 eV per formula unit

=====

(14)
# La3Dy8Tm | Alexandria via LeMat-Bulk | PBE | relaxed
data_La3Dy8Tm
_chemical_formula_sum 'La6 Dy16 Tm2'
_symmetry_space_group_name_H-M 'I -4 2 m'
_symmetry_Int_Tables_number 121
_symmetry_space_group_name_Hall 'I -4 2'
_cell_length_a 8.8295
_cell_length_b 8.8295
_cell_length_c 11.3217
_cell_angle_alpha 90.00
_cell_angle_beta 90.00
_cell_angle_gamma 90.00
loop_
_atom_site_label
_atom_site_fract_x
_atom_site_fract_y
_atom_site_fract_z
La1 0.0000 0.0000 0.0000
La2 0.0000 0.5000 0.2500
Dy1 0.1238 0.1238 0.2558
Dy2 0.2424 0.2424 0.5141
Tm1 0.0000 0.0000 0.5000
# E_form = 7.2 eV per formula unit

=====

(15)
# RbRh | Alexandria via LeMat-Bulk | PBE | relaxed
data_RbRh
_chemical_formula_sum 'Rb8 Rh8'
_symmetry_space_group_name_H-M 'I 4/m'
_symmetry_Int_Tables_number 87
_symmetry_space_group_name_Hall '-I 4'
_cell_length_a 14.1393
_cell_length_b 14.1393
_cell_length_c 3.0599
_cell_angle_alpha 90.00
_cell_angle_beta 90.00
_cell_angle_gamma 90.00
loop_
_atom_site_label
_atom_site_fract_x
_atom_site_fract_y
_atom_site_fract_z
Rb1 0.0394 0.7464 0.0000
Rh1 0.1798 0.2556 0.0000
# E_form = 1.7 eV per formula unit

=====

(16)
# ScNb2Ga | Alexandria via LeMat-Bulk | PBE | relaxed
data_ScNb2Ga
_chemical_formula_sum 'Sc1 Nb2 Ga1'
_symmetry_space_group_name_H-M 'P 4/m m m'
_symmetry_Int_Tables_number 123
_symmetry_space_group_name_Hall '-P 4 2'
_cell_length_a 3.9971
_cell_length_b 3.9971
_cell_length_c 4.5770
_cell_angle_alpha 90.00
_cell_angle_beta 90.00
_cell_angle_gamma 90.00
loop_
_atom_site_label
_atom_site_fract_x
_atom_site_fract_y
_atom_site_fract_z
Sc1 0.0000 0.0000 0.0000
Nb1 0.0000 0.5000 0.5000
Ga1 0.5000 0.5000 0.0000
# E_form = -0.8 eV per formula unit

=====

(17)
# ZrP2Se | Alexandria via LeMat-Bulk | PBE | relaxed
data_ZrP2Se
_chemical_formula_sum 'Zr3 P6 Se3'
_symmetry_space_group_name_H-M 'R 3 m'
_symmetry_Int_Tables_number 160
_symmetry_space_group_name_Hall 'R 3 -2"'
_cell_length_a 3.8666
_cell_length_b 3.8666
_cell_length_c 20.3959
_cell_angle_alpha 90.00
_cell_angle_beta 90.00
_cell_angle_gamma 120.00
loop_
_atom_site_label
_atom_site_fract_x
_atom_site_fract_y
_atom_site_fract_z
Zr1 0.0000 0.0000 0.0000
P1 0.0000 0.0000 0.4365
P2 0.0000 0.0000 0.7495
Se1 0.0000 0.0000 0.2556
# ΔE_f (raw) = -0.5024 eV per atom

=====

(18)
# Cu2GeAs | Alexandria via LeMat-Bulk | PBE | relaxed
data_Cu2GeAs
_chemical_formula_sum 'Cu6 Ge3 As3'
_symmetry_space_group_name_H-M 'R -3 m'
_symmetry_Int_Tables_number 166
_symmetry_space_group_name_Hall '-R 3 2"'
_cell_length_a 3.8168
_cell_length_b 3.8168
_cell_length_c 15.5037
_cell_angle_alpha 90.00
_cell_angle_beta 90.00
_cell_angle_gamma 120.00
loop_
_atom_site_label
_atom_site_fract_x
_atom_site_fract_y
_atom_site_fract_z
Cu1 0.0000 0.0000 0.2456
Ge1 0.0000 0.0000 0.0000
As1 0.0000 0.0000 0.5000
# E_form = 0.8 eV per formula unit
# excess energy over the best structure of this formula in the dataset = 73 meV per atom

=====

(19)
# Ti7Co5Ni | Alexandria via LeMat-Bulk | PBE | relaxed
data_Ti7Co5Ni
_chemical_formula_sum 'Ti14 Co10 Ni2'
_symmetry_space_group_name_H-M 'I m m 2'
_symmetry_Int_Tables_number 44
_symmetry_space_group_name_Hall 'I 2 -2'
_cell_length_a 5.0074
_cell_length_b 8.6005
_cell_length_c 8.4144
_cell_angle_alpha 90.00
_cell_angle_beta 90.00
_cell_angle_gamma 90.00
loop_
_atom_site_label
_atom_site_fract_x
_atom_site_fract_y
_atom_site_fract_z
Ti1 0.0000 0.0000 0.0000
Ti2 0.0000 0.0000 0.3631
Ti3 0.0000 0.3009 0.5620
Ti4 0.0000 0.3415 0.0210
Ti5 0.0000 0.5000 0.3002
Co1 0.0000 0.5000 0.7723
Co2 0.2502 0.2386 0.8026
Ni1 0.0000 0.0000 0.6642
# E_form = -3.2 eV per formula unit

=====

(20)
# RhSCl2F | Alexandria via LeMat-Bulk | PBE | relaxed
data_RhSCl2F
_chemical_formula_sum 'Rh1 S1 Cl2 F1'
_symmetry_space_group_name_H-M 'P 4/m m m'
_symmetry_Int_Tables_number 123
_symmetry_space_group_name_Hall '-P 4 2'
_cell_length_a 4.8411
_cell_length_b 4.8411
_cell_length_c 4.4120
_cell_angle_alpha 90.00
_cell_angle_beta 90.00
_cell_angle_gamma 90.00
loop_
_atom_site_label
_atom_site_fract_x
_atom_site_fract_y
_atom_site_fract_z
Rh1 0.0000 0.0000 0.0000
S1 0.0000 0.0000 0.5000
Cl1 0.0000 0.5000 0.0000
F1 0.5000 0.5000 0.5000
# ΔE_f (raw) = 0.0824 eV per atom
# excess energy over the best structure of this formula in the dataset = 0 meV per atom